(1)
# CsLiMgS2

A relaxed structure of CsLiMgS2 (PBE, Alexandria via LeMat-Bulk).

Computed properties:
- total magnetic moment (μB/atom) = 0.000
- uncorrected formation energy (eV per atom) = -1.359
- space-group type = C2/m

a b c (Å): 4.1601 7.0536 9.5177
angles (deg): 77.15 77.38 72.85
Atoms (fractional coordinates):
Cs: 0.8326 0.7025 0.6322
Cs: 0.1674 0.2975 0.3678
Li: 0.3430 0.3740 0.9400
Li: 0.6570 0.6260 0.0600
Mg: 0.0293 0.1081 0.8333
Mg: 0.9707 0.8919 0.1667
S: 0.4682 0.7663 0.2973
S: 0.5318 0.2337 0.7027
S: 0.8404 0.2554 0.0638
S: 0.1596 0.7446 0.9362

(2)
# SrLiAu

A relaxed structure of SrLiAu (PBE, Alexandria via LeMat-Bulk).

Computed properties:
- ΔE to the lowest computed polymorph (kJ/mol of formula units) = 10
- ΔE_f (meV per atom) = -546
- total magnetic moment (μB/atom) = 0.000
- space-group type = P-6m2

a b c (Å): 4.5886 4.5886 4.3283
angles (deg): 90.00 90.00 120.00
Atoms (fractional coordinates):
Sr: 0.3333 0.6667 0.6666
Au: 0.0000 0.0000 0.1663
Li: 0.6667 0.3333 0.1671

Q: Number 2 is which compound?
A: SrLiAu